No. 1
5
Lattice="4.727 0.000 0.000 0.000 4.727 0.000 0.000 0.000 5.184" Properties=species:S:1:pos:R:3 comment="ScBSb2I | Alexandria via LeMat-Bulk | PBEsol | optimized geometry" mass_density_g_cm3=6.11 pbc="T T T"
I 0.000 0.000 2.592
Sb 0.000 2.364 0.000
Sb 2.364 0.000 0.000
B 0.000 0.000 0.000
Sc 2.364 2.364 2.592

No. 2
8
Lattice="-0.204 -5.692 -1.888 5.654 -0.812 1.838 -4.694 1.563 5.332" Properties=species:S:1:pos:R:3 comment="ZnSb2Pd | Alexandria via LeMat-Bulk | PBEsol | optimized geometry" mass_density_g_cm3=6.48 pbc="T T T"
Sb 3.700 -2.389 2.256
Sb 0.766 -4.961 0.349
Sb -2.904 0.368 3.972
Sb -0.048 -2.903 3.990
Zn -1.086 -3.691 1.710
Zn 2.725 -3.252 -0.025
Pd 1.843 -1.251 3.573
Pd 0.000 0.000 0.000

no.,magnetization (μB per formula unit),raw formation energy (meV/atom)
1,0.00,457
2,0.00,107